Entry from Alexandria via LeMat-Bulk: ReNi3 after structural relaxation (PBE-GGA).

a b c (Å): 2.6397 2.6397 8.1215
angles (deg): 90.00 90.00 120.00
Space group P-6m2 (No. 187)
Asymmetric unit:
Re  0.0000  0.0000  0.0000 x1
Ni  0.0000  0.0000  0.5000 x1
Ni  0.6667  0.3333  0.2546 x2

The value obtained for the density is 12.27 g/cm³. The calculation puts the energy of formation at 0.08 eV per atom. As for the crystal system: hexagonal.

---

Entry from Alexandria via LeMat-Bulk: ReNi4 after structural relaxation (PBE-GGA).

a b c (Å): 4.260 7.422 4.118
angles (deg): 90.00 90.00 90.00
Space group Pbam (No. 55)
Asymmetric unit:
Re  0.000  0.000  0.000 x2
Ni  0.010  0.335  0.000 x4
Ni  0.167  0.154  0.500 x4

The value obtained for the density is 10.74 g/cm³. The calculation puts the energy of formation at 0.33 eV per atom. As for the crystal system: orthorhombic.

---

Entry from Alexandria via LeMat-Bulk: ReNiRh2 after structural relaxation (PBE-GGA).

a b c (Å): 4.546 4.546 2.715
angles (deg): 90.00 90.00 90.00
Space group P4/mmm (No. 123)
Asymmetric unit:
Re  0.000  0.000  0.000 x1
Ni  0.500  0.500  0.000 x1
Rh  0.000  0.500  0.500 x2

The value obtained for the density is 13.34 g/cm³. The calculation puts the energy of formation at 0.23 eV per atom. As for the crystal system: tetragonal.

---

Entry from Alexandria via LeMat-Bulk: ReNi3Rh3 after structural relaxation (PBE-GGA).

a b c (Å): 7.299 7.299 7.299
angles (deg): 90.00 90.00 90.00
Space group P2_13 (No. 198)
Asymmetric unit:
Re  0.155  0.345  0.655 x4
Ni  0.039  0.539  0.961 x4
Ni  0.144  0.144  0.144 x4
Ni  0.158  0.842  0.342 x4
Rh  0.058  0.682  0.633 x12

The value obtained for the density is 11.46 g/cm³. The calculation puts the energy of formation at 0.19 eV per atom. As for the crystal system: cubic.